Record 1
The following is a PBE-GGA calculation of crystalline Tl2IrCl2F4 at its relaxed geometry, from the Alexandria database.

As for the space group: C2/m (12). The spin magnetization is 1.04 μB/cell. The total energy comes out at -4.129 eV/atom. As for the density: 6.33 Mg/m³.

a = 6.5814 Å, b = 6.5814 Å, c = 5.4064 Å
α = 92.04°, β = 92.04°, γ = 57.05°
Fractional coordinates of all 9 atoms:
Tl (0.1448, 0.1448, 0.1850)
Tl (0.8552, 0.8552, 0.8150)
Ir (0.5000, 0.5000, 0.5000)
Cl (0.3170, 0.3170, 0.6732)
Cl (0.6830, 0.6830, 0.3268)
F (0.2209, 0.6745, 0.2719)
F (0.3255, 0.7791, 0.7281)
F (0.6745, 0.2209, 0.2719)
F (0.7791, 0.3255, 0.7281)

---

Record 2
The following is a PBE-GGA calculation of crystalline ZrSc2Co at its relaxed geometry, from the Alexandria database.

As for the space group: R-3m (166). The spin magnetization is 0.00 μB/cell. The total energy comes out at -6.912 eV/atom. As for the density: 4.87 Mg/m³.

a = 3.0975 Å, b = 3.0975 Å, c = 29.5300 Å
α = 90.00°, β = 90.00°, γ = 120.00°
Fractional coordinates of all 12 atoms:
Zr (0.0000, 0.0000, 0.0000)
Zr (0.3333, 0.6667, 0.6667)
Zr (0.6667, 0.3333, 0.3333)
Sc (0.0000, 0.0000, 0.1043)
Sc (0.0000, 0.0000, 0.8957)
Sc (0.3333, 0.6667, 0.5623)
Sc (0.3333, 0.6667, 0.7710)
Sc (0.6667, 0.3333, 0.2290)
Sc (0.6667, 0.3333, 0.4377)
Co (0.0000, 0.0000, 0.5000)
Co (0.3333, 0.6667, 0.1667)
Co (0.6667, 0.3333, 0.8333)

---

Record 3
The following is a PBE-GGA calculation of crystalline BaBeAg3 at its relaxed geometry, from the Alexandria database.

As for the space group: Pm-3m (221). The spin magnetization is 0.00 μB/cell. The total energy comes out at -2.848 eV/atom. As for the density: 6.78 Mg/m³.

a = 4.8637 Å, b = 4.8637 Å, c = 4.8637 Å
α = 90.00°, β = 90.00°, γ = 90.00°
Fractional coordinates of all 5 atoms:
Ba (0.0000, 0.0000, 0.0000)
Be (0.5000, 0.5000, 0.5000)
Ag (0.0000, 0.5000, 0.5000)
Ag (0.5000, 0.0000, 0.5000)
Ag (0.5000, 0.5000, 0.0000)

---

Record 4
The following is a PBE-GGA calculation of crystalline LiNpGe2O8 at its relaxed geometry, from the Alexandria database.

As for the space group: I-4m2 (119). The spin magnetization is 0.00 μB/cell. The total energy comes out at -7.091 eV/atom. As for the density: 5.76 Mg/m³.

a = 5.7940 Å, b = 5.7940 Å, c = 5.7940 Å
α = 107.46°, β = 107.46°, γ = 113.57°
Fractional coordinates of all 12 atoms:
Li (0.0000, 0.0000, 0.0000)
Np (0.2500, 0.7500, 0.5000)
Ge (0.5000, 0.5000, 0.0000)
Ge (0.7500, 0.2500, 0.5000)
O (0.3273, 0.1261, 0.7988)
O (0.3273, 0.5285, 0.2012)
O (0.3684, 0.0531, 0.3153)
O (0.4715, 0.6727, 0.7988)
O (0.7377, 0.0531, 0.6847)
O (0.8739, 0.6727, 0.2012)
O (0.9469, 0.2623, 0.3153)
O (0.9469, 0.6316, 0.6847)

---

Record 5
The following is a PBE-GGA calculation of crystalline LiEuGdPd at its relaxed geometry, from the Alexandria database.

As for the space group: F-43m (216). The spin magnetization is 58.10 μB/cell. The total energy comes out at -8.187 eV/atom. As for the density: 7.26 Mg/m³.

a = 7.2835 Å, b = 7.2835 Å, c = 7.2835 Å
α = 90.00°, β = 90.00°, γ = 90.00°
Fractional coordinates of all 16 atoms:
Li (0.0000, 0.0000, 0.0000)
Li (0.0000, 0.5000, 0.5000)
Li (0.5000, 0.0000, 0.5000)
Li (0.5000, 0.5000, 0.0000)
Eu (0.2500, 0.2500, 0.2500)
Eu (0.2500, 0.7500, 0.7500)
Eu (0.7500, 0.2500, 0.7500)
Eu (0.7500, 0.7500, 0.2500)
Gd (0.2500, 0.2500, 0.7500)
Gd (0.2500, 0.7500, 0.2500)
Gd (0.7500, 0.2500, 0.2500)
Gd (0.7500, 0.7500, 0.7500)
Pd (0.0000, 0.0000, 0.5000)
Pd (0.0000, 0.5000, 0.0000)
Pd (0.5000, 0.0000, 0.0000)
Pd (0.5000, 0.5000, 0.5000)

---

Record 6
The following is a PBE-GGA calculation of crystalline Li2AlB2Rh5 at its relaxed geometry, from the Alexandria database.

As for the space group: P4/mbm (127). The spin magnetization is 0.00 μB/cell. The total energy comes out at -6.317 eV/atom. As for the density: 7.67 Mg/m³.

a = 9.3285 Å, b = 9.3285 Å, c = 2.8708 Å
α = 90.00°, β = 90.00°, γ = 90.00°
Fractional coordinates of all 20 atoms:
Li (0.1745, 0.3255, 0.0000)
Li (0.3255, 0.8255, 0.0000)
Li (0.6745, 0.1745, 0.0000)
Li (0.8255, 0.6745, 0.0000)
Al (0.0000, 0.0000, 0.0000)
Al (0.5000, 0.5000, 0.0000)
B (0.1267, 0.6267, 0.0000)
B (0.3733, 0.1267, 0.0000)
B (0.6267, 0.8733, 0.0000)
B (0.8733, 0.3733, 0.0000)
Rh (0.0000, 0.5000, 0.5000)
Rh (0.0723, 0.7870, 0.5000)
Rh (0.2130, 0.0723, 0.5000)
Rh (0.2870, 0.5723, 0.5000)
Rh (0.4277, 0.2870, 0.5000)
Rh (0.5000, 0.0000, 0.5000)
Rh (0.5723, 0.7130, 0.5000)
Rh (0.7130, 0.4277, 0.5000)
Rh (0.7870, 0.9277, 0.5000)
Rh (0.9277, 0.2130, 0.5000)

---

Record 7
The following is a PBE-GGA calculation of crystalline Ga2HgS2 at its relaxed geometry, from the Alexandria database.

As for the space group: I4/mmm (139). The spin magnetization is 0.00 μB/cell. The total energy comes out at -3.159 eV/atom. As for the density: 6.60 Mg/m³.

a = 4.7034 Å, b = 4.7034 Å, c = 9.1961 Å
α = 90.00°, β = 90.00°, γ = 90.00°
Fractional coordinates of all 10 atoms:
Ga (0.0000, 0.0000, 0.1415)
Ga (0.0000, 0.0000, 0.8585)
Ga (0.5000, 0.5000, 0.3585)
Ga (0.5000, 0.5000, 0.6415)
Hg (0.0000, 0.0000, 0.5000)
Hg (0.5000, 0.5000, 0.0000)
S (0.0000, 0.5000, 0.2500)
S (0.0000, 0.5000, 0.7500)
S (0.5000, 0.0000, 0.2500)
S (0.5000, 0.0000, 0.7500)

---

Record 8
The following is a PBE-GGA calculation of crystalline ZrAsSe at its relaxed geometry, from the Alexandria database.

As for the space group: P4/nmm (129). The spin magnetization is 0.00 μB/cell. The total energy comes out at -6.595 eV/atom. As for the density: 6.75 Mg/m³.

a = 3.8509 Å, b = 3.8509 Å, c = 8.1351 Å
α = 90.00°, β = 90.00°, γ = 90.00°
Fractional coordinates of all 6 atoms:
Zr (0.2500, 0.2500, 0.2428)
Zr (0.7500, 0.7500, 0.7572)
As (0.2500, 0.7500, 0.5000)
As (0.7500, 0.2500, 0.5000)
Se (0.2500, 0.2500, 0.8764)
Se (0.7500, 0.7500, 0.1236)